No. 1
Pm6DyTl4: optimized geometry, GGA-PBE. Values from VASP.

Results
The total energy comes out at -3.92 eV per atom. As for the density of states at the Fermi level: 13.7 states/eV per cell. For the energy relative to the elements, the calculation gives -0.5 eV per formula unit.

Geometry as Quantum ESPRESSO input:
```
&SYSTEM
  ibrav = 0, nat = 11, ntyp = 3
/
ATOMIC_SPECIES
Pm 145.00 Pm.upf
Dy 162.50 Dy.upf
Tl 204.38 Tl.upf
CELL_PARAMETERS angstrom
-3.963 3.963 6.027
3.963 -3.963 6.027
3.963 3.963 -6.027
ATOMIC_POSITIONS angstrom
Pm 3.963 0.000 0.000
Pm 2.473 2.473 -2.584
Pm 1.490 1.490 3.443
Pm 0.000 3.963 0.000
Pm 1.490 -1.490 8.611
Pm -1.490 1.490 8.611
Dy 0.000 0.000 0.000
Tl 1.332 -1.332 5.179
Tl 2.631 2.631 0.848
Tl -1.332 1.332 5.179
Tl 1.332 1.332 6.875
```

=====

No. 2
Li3Zn2Au7: optimized geometry, GGA-PBE. Values from VASP.

Results
The total energy comes out at -2.89 eV per atom. As for the density of states at the Fermi level: 3.1 states/eV per cell. For the energy relative to the elements, the calculation gives -3.4 eV per formula unit.

Geometry as Quantum ESPRESSO input:
```
&SYSTEM
  ibrav = 0, nat = 12, ntyp = 3
/
ATOMIC_SPECIES
Li 6.94 Li.upf
Zn 65.41 Zn.upf
Au 196.97 Au.upf
CELL_PARAMETERS angstrom
4.804 0.000 0.000
2.143 4.850 0.000
1.972 0.734 9.445
ATOMIC_POSITIONS angstrom
Li 0.000 0.000 0.000
Li 1.343 1.262 3.726
Li 7.575 4.322 5.719
Zn 3.625 2.446 7.775
Zn 5.293 3.139 1.670
Au 2.828 3.458 2.766
Au 5.100 4.735 7.178
Au 3.705 1.697 5.086
Au 3.473 2.425 0.000
Au 5.214 3.887 4.359
Au 3.818 0.849 2.267
Au 6.090 2.127 6.679
```